Entry 1:
## Cr2NiPt (PBE-GGA)

Data for Cr2NiPt after structural relaxation.

Lattice parameters (Å, degrees): 4.598 4.598 2.580 90.08 90.08 113.16
Fractional coordinates of all 4 atoms:
Cr (0.000, 0.500, 0.000)
Cr (0.500, 0.000, 0.000)
Ni (0.000, 0.000, 0.500)
Pt (0.500, 0.500, 0.500)

Summary:
Crystal system   monoclinic
DOS(E_F)   5.4 states/eV per cell
Space-group type   No. 12
Raw total energy   -7.7882 eV per atom
Energy relative to the elements   -21 meV/atom

=====

Entry 2:
## CsLiSiF6 (PBE-GGA)

Data for CsLiSiF6 after structural relaxation.

Lattice parameters (Å, degrees): 5.165 5.165 6.441 90.00 90.00 120.00
Fractional coordinates of all 9 atoms:
Cs (0.000, 0.000, 0.000)
Li (0.333, 0.667, 0.500)
Si (0.667, 0.333, 0.500)
F (0.404, 0.051, 0.654)
F (0.404, 0.354, 0.346)
F (0.646, 0.051, 0.346)
F (0.646, 0.596, 0.654)
F (0.949, 0.354, 0.654)
F (0.949, 0.596, 0.346)

Summary:
Crystal system   trigonal
DOS(E_F)   0.0 states/eV per cell
Formation energy from raw total energies   -3.1352 eV per atom
Space-group type   No. 149
Raw total energy   -5.2928 eV per atom

=====

Entry 3:
## MgSc12Fe6 (PBE-GGA)

Data for MgSc12Fe6 after structural relaxation.

Lattice parameters (Å, degrees): 7.830 7.830 7.830 109.47 109.47 109.47
Fractional coordinates of all 19 atoms:
Mg (0.000, 0.000, 0.000)
Sc (0.100, 0.298, 0.803)
Sc (0.197, 0.495, 0.298)
Sc (0.197, 0.900, 0.702)
Sc (0.298, 0.197, 0.495)
Sc (0.298, 0.803, 0.100)
Sc (0.495, 0.298, 0.197)
Sc (0.505, 0.702, 0.803)
Sc (0.702, 0.197, 0.900)
Sc (0.702, 0.803, 0.505)
Sc (0.803, 0.100, 0.298)
Sc (0.803, 0.505, 0.702)
Sc (0.900, 0.702, 0.197)
Fe (0.118, 0.500, 0.618)
Fe (0.382, 0.882, 0.500)
Fe (0.500, 0.382, 0.882)
Fe (0.500, 0.618, 0.118)
Fe (0.618, 0.118, 0.500)
Fe (0.882, 0.500, 0.382)

Summary:
Crystal system   cubic
DOS(E_F)   25.5 states/eV per cell
Space-group type   No. 204
Raw total energy   -6.8199 eV per atom
Energy relative to the elements   -65 meV/atom

=====

Entry 4:
## Sc2CdPd (PBE-GGA)

Data for Sc2CdPd after structural relaxation.

Lattice parameters (Å, degrees): 4.819 4.819 3.444 90.00 90.00 90.00
Fractional coordinates of all 4 atoms:
Sc (0.000, 0.500, 0.000)
Sc (0.500, 0.000, 0.000)
Cd (0.000, 0.000, 0.500)
Pd (0.500, 0.500, 0.500)

Summary:
Crystal system   tetragonal
DOS(E_F)   2.8 states/eV per cell
Space-group type   No. 123
Raw total energy   -5.2381 eV per atom
Energy relative to the elements   -545 meV/atom

=====

Entry 5:
## Ho4Tm15Th (PBE-GGA)

Data for Ho4Tm15Th after structural relaxation.

Lattice parameters (Å, degrees): 4.956 4.956 24.687 90.00 90.00 90.00
Fractional coordinates of all 20 atoms:
Ho (0.000, 0.000, 0.100)
Ho (0.000, 0.000, 0.300)
Ho (0.000, 0.000, 0.700)
Ho (0.000, 0.000, 0.900)
Tm (0.000, 0.500, 0.000)
Tm (0.000, 0.500, 0.200)
Tm (0.000, 0.500, 0.400)
Tm (0.000, 0.500, 0.600)
Tm (0.000, 0.500, 0.800)
Tm (0.500, 0.000, 0.000)
Tm (0.500, 0.000, 0.200)
Tm (0.500, 0.000, 0.400)
Tm (0.500, 0.000, 0.600)
Tm (0.500, 0.000, 0.800)
Tm (0.500, 0.500, 0.100)
Tm (0.500, 0.500, 0.299)
Tm (0.500, 0.500, 0.500)
Tm (0.500, 0.500, 0.701)
Tm (0.500, 0.500, 0.900)
Th (0.000, 0.000, 0.500)

Summary:
Crystal system   tetragonal
DOS(E_F)   29.0 states/eV per cell
Space-group type   No. 123
Raw total energy   -4.6120 eV per atom
Energy relative to the elements   28 meV/atom

=====

Entry 6:
## YZn2Ir (PBE-GGA)

Data for YZn2Ir after structural relaxation.

Lattice parameters (Å, degrees): 4.804 4.804 4.584 108.94 108.94 47.42
Fractional coordinates of all 4 atoms:
Y (0.000, 0.000, 0.000)
Zn (0.230, 0.230, 0.672)
Zn (0.770, 0.770, 0.328)
Ir (0.500, 0.500, 0.500)

Summary:
Crystal system   monoclinic
DOS(E_F)   1.2 states/eV per cell
Space-group type   No. 12
Raw total energy   -4.8913 eV per atom
Energy relative to the elements   -423 meV/atom